No. 1
Below is a relaxed structure of InPb3Au, with properties calculated at the PBE-GGA level.

Values from the calculation:
- ΔE to the lowest computed polymorph (meV/atom) = 305
- DFT formation energy (meV/atom) = 273

```
data_InPb3Au
_chemical_formula_sum 'In1 Pb3 Au1'
_cell_length_a 5.5971
_cell_length_b 5.5971
_cell_length_c 5.5971
_cell_angle_alpha 90.00
_cell_angle_beta 90.00
_cell_angle_gamma 90.00
_space_group_name_H-M_alt 'P m -3 m'
_space_group_IT_number 221
_space_group_name_Hall '-P 4 2 3'
loop_
_atom_site_label
_atom_site_type_symbol
_atom_site_fract_x
_atom_site_fract_y
_atom_site_fract_z
_atom_site_occupancy
In1 In 0.0000 0.0000 0.0000 1
Pb1 Pb 0.0000 0.5000 0.5000 1
Au1 Au 0.5000 0.5000 0.5000 1
```

***

No. 2
Below is a relaxed structure of Pr4S2NCl, with properties calculated at the PBE-GGA level.

Values from the calculation:
- formation energy (no corrections) (kcal/mol of atoms) = -38.56

```
data_Pr4S2NCl
_chemical_formula_sum 'Pr4 S2 N1 Cl1'
_cell_length_a 6.8700
_cell_length_b 3.9536
_cell_length_c 7.1292
_cell_angle_alpha 90.00
_cell_angle_beta 108.65
_cell_angle_gamma 90.00
_space_group_name_H-M_alt 'P 1 2/m 1'
_space_group_IT_number 10
loop_
_space_group_symop_operation_xyz
'x,y,z'
'-x,-y,-z'
'-x,y,-z'
'x,-y,z'
loop_
_atom_site_label
_atom_site_type_symbol
_atom_site_fract_x
_atom_site_fract_y
_atom_site_fract_z
_atom_site_occupancy
Pr1 Pr 0.2223 0.0000 0.2111 1
Pr2 Pr 0.2393 0.5000 0.7854 1
S1 S 0.5000 0.0000 0.0000 1
S2 S 0.5000 0.5000 0.5000 1
N1 N 0.0000 0.5000 0.0000 1
Cl1 Cl 0.0000 0.0000 0.5000 1
```

***

No. 3
Below is a relaxed structure of Mg2ScVSe, with properties calculated at the PBE-GGA level.

Values from the calculation:
- formation energy (no corrections) (kcal/mol of atoms) = 6.74

```
data_Mg2ScVSe
_chemical_formula_sum 'Mg2 Sc1 V1 Se1'
_cell_length_a 5.0435
_cell_length_b 5.0435
_cell_length_c 4.7035
_cell_angle_alpha 90.00
_cell_angle_beta 90.00
_cell_angle_gamma 90.00
_space_group_name_H-M_alt 'P 4/m m m'
_space_group_IT_number 123
_space_group_name_Hall '-P 4 2'
loop_
_atom_site_label
_atom_site_type_symbol
_atom_site_fract_x
_atom_site_fract_y
_atom_site_fract_z
_atom_site_occupancy
Mg1 Mg 0.0000 0.5000 0.0000 1
Sc1 Sc 0.0000 0.0000 0.5000 1
V1 V 0.5000 0.5000 0.5000 1
Se1 Se 0.5000 0.5000 0.0000 1
```

***

No. 4
Below is a relaxed structure of Pr2ZnPt, with properties calculated at the PBE-GGA level.

Values from the calculation:
- DFT formation energy (meV/atom) = -717

```
data_Pr2ZnPt
_chemical_formula_sum 'Pr4 Zn2 Pt2'
_cell_length_a 6.0692
_cell_length_b 4.5975
_cell_length_c 7.9239
_cell_angle_alpha 90.00
_cell_angle_beta 112.05
_cell_angle_gamma 90.00
_space_group_name_H-M_alt 'P 1 21/m 1'
_space_group_IT_number 11
loop_
_space_group_symop_operation_xyz
'x,y,z'
'-x,-y,-z'
'-x,y+1/2,-z'
'x,-y+1/2,z'
loop_
_atom_site_label
_atom_site_type_symbol
_atom_site_fract_x
_atom_site_fract_y
_atom_site_fract_z
_atom_site_occupancy
Pr1 Pr 0.1849 0.2500 0.4163 1
Pr2 Pr 0.2825 0.7500 0.0688 1
Zn1 Zn 0.3704 0.7500 0.7084 1
Pt1 Pt 0.1514 0.2500 0.7873 1
```

***

No. 5
Below is a relaxed structure of ZrTa2Hg, with properties calculated at the PBE-GGA level.

Values from the calculation:
- DFT formation energy (meV/atom) = 192

```
data_ZrTa2Hg
_chemical_formula_sum 'Zr2 Ta4 Hg2'
_cell_length_a 10.2622
_cell_length_b 3.0621
_cell_length_c 5.1816
_cell_angle_alpha 90.00
_cell_angle_beta 102.09
_cell_angle_gamma 90.00
_space_group_name_H-M_alt 'C 1 2/m 1'
_space_group_IT_number 12
loop_
_space_group_symop_operation_xyz
'x,y,z'
'-x,-y,-z'
'-x,y,-z'
'x,-y,z'
'x+1/2,y+1/2,z'
'-x+1/2,-y+1/2,-z'
'-x+1/2,y+1/2,-z'
'x+1/2,-y+1/2,z'
loop_
_atom_site_label
_atom_site_type_symbol
_atom_site_fract_x
_atom_site_fract_y
_atom_site_fract_z
_atom_site_occupancy
Zr1 Zr 0.0000 0.0000 0.0000 1
Ta1 Ta 0.2438 0.0000 0.7415 1
Hg1 Hg 0.0000 0.5000 0.5000 1
```

***

No. 6
Below is a relaxed structure of NiGeB, with properties calculated at the PBE-GGA level.

Values from the calculation:
- ΔE to the lowest computed polymorph (meV/atom) = 223
- DFT formation energy (meV/atom) = 250

```
data_NiGeB
_chemical_formula_sum 'Ni4 Ge4 B4'
_cell_length_a 4.8927
_cell_length_b 4.4462
_cell_length_c 6.3168
_cell_angle_alpha 90.00
_cell_angle_beta 94.55
_cell_angle_gamma 90.00
_space_group_name_H-M_alt 'C 1 2/m 1'
_space_group_IT_number 12
loop_
_space_group_symop_operation_xyz
'x,y,z'
'-x,-y,-z'
'-x,y,-z'
'x,-y,z'
'x+1/2,y+1/2,z'
'-x+1/2,-y+1/2,-z'
'-x+1/2,y+1/2,-z'
'x+1/2,-y+1/2,z'
loop_
_atom_site_label
_atom_site_type_symbol
_atom_site_fract_x
_atom_site_fract_y
_atom_site_fract_z
_atom_site_occupancy
Ni1 Ni 0.2347 0.0000 0.3861 1
Ge1 Ge 0.1750 0.5000 0.2319 1
B1 B 0.1597 0.0000 0.0679 1
```

***

Mass density values (in g/cm³) by entry order: 8.84 6.13 3.10 8.79 13.64 6.89.
Raw total energy values (in eV/atom) by entry order: -3.1547 -6.3651 -4.1327 -4.9351 -7.9469 -5.4417.